An optimized crystal structure of Ba3Li2V2Cl4O7, computed with PBE with a Hubbard U.

extended XYZ file:
```
36
Lattice="8.6821 -0.0014 -0.0019 6.6896 5.5342 -0.0019 0.1218 0.0438 14.5972" Properties=species:S:1:pos:R:3 pbc="T T T"
Ba 2.1203 0.7632 4.0028
Ba 13.3375 4.8007 4.0948
Ba 13.3732 4.8135 10.5906
Ba 7.7467 2.7883 7.2967
Ba 2.1560 0.7760 10.4987
Ba 7.6858 2.7664 -0.0019
Li 3.4057 2.7890 7.2977
Li 4.7515 1.7102 12.8912
Li 10.7420 3.8664 1.7023
Li 4.4019 0.0212 7.2977
V 7.7735 2.7980 3.6727
V 10.6974 3.8504 12.7349
V 7.7199 2.7787 10.9207
V 4.7960 1.7263 1.8586
Cl 15.3385 5.5209 1.6837
Cl 4.8838 1.7579 5.5491
Cl 1.8703 0.6732 7.2781
Cl 0.1549 0.0558 12.9098
Cl 13.6232 4.9035 7.3154
Cl 4.8562 1.7479 9.0522
Cl 10.6372 3.8287 5.5413
Cl 10.6096 3.8188 9.0444
O 8.2302 1.5052 4.7112
O 7.3016 4.0853 4.7112
O 6.3645 2.2908 2.6121
O 9.0620 3.2617 2.6503
O 7.2632 4.0715 9.8823
O 11.0355 5.4449 12.1721
O 3.5193 2.7396 2.4214
O 9.1289 3.2858 11.9814
O 6.4315 2.3149 11.9432
O 4.4579 0.1317 2.4214
O 10.4140 3.7484 14.4096
O 8.1919 1.4914 9.8823
O 5.0795 1.8283 0.1839
O 11.9742 2.8371 12.1721
```

Calculated values
- Total DFT energy (no corrections): -6.056 eV/atom
- Size of the total moment: 0.0 μB per cell
- Space-group type: C2/m, No. 12